1.
A geometry-optimized LiTaGeO5 structure. Source: the Alexandria database, functional PBE-GGA.

Geometry as POSCAR:
```
LiTaGeO5
1.0
7.680 0.000 0.000
0.000 8.189 0.000
-3.764 0.000 6.617
Li Ta Ge O
4 4 4 20
Direct
0.250 0.060 0.206 Li
0.250 0.440 0.706 Li
0.750 0.560 0.294 Li
0.750 0.940 0.794 Li
0.251 0.742 0.993 Ta
0.251 0.758 0.493 Ta
0.749 0.242 0.507 Ta
0.749 0.258 0.007 Ta
0.250 0.111 0.758 Ge
0.250 0.389 0.258 Ge
0.750 0.611 0.742 Ge
0.750 0.889 0.242 Ge
0.051 0.248 0.150 O
0.051 0.252 0.650 O
0.249 0.682 0.749 O
0.249 0.818 0.249 O
0.251 0.513 0.449 O
0.251 0.987 0.949 O
0.252 0.515 0.071 O
0.252 0.985 0.571 O
0.448 0.247 0.349 O
0.448 0.253 0.849 O
0.552 0.747 0.151 O
0.552 0.753 0.651 O
0.748 0.015 0.429 O
0.748 0.485 0.929 O
0.749 0.013 0.051 O
0.749 0.487 0.551 O
0.751 0.182 0.751 O
0.751 0.318 0.251 O
0.949 0.748 0.350 O
0.949 0.752 0.850 O
```

Output
Final energy: -247.07 eV for the cell shown
Distance to the lowest polymorph of the same formula: 0.0 meV per atom
Space-group type: No. 14
Formation energy from raw total energies: -2.324 eV/atom
Magnetic moment: 0.000 Bohr magnetons per cell
Density of states at the Fermi level: 0.00 states/eV per cell

***

2.
A geometry-optimized ZrMnTc3 structure. Source: the Alexandria database, functional PBE-GGA.

Geometry as POSCAR:
```
ZrMnTc3
1.0
4.689 0.000 0.000
0.000 4.689 0.000
0.000 0.000 4.689
Zr Mn Tc
1 1 3
Direct
0.000 0.000 0.000 Zr
0.500 0.500 0.500 Mn
0.000 0.000 0.500 Tc
0.000 0.500 0.000 Tc
0.500 0.000 0.000 Tc
```

Output
Final energy: -36.86 eV for the cell shown
Distance to the lowest polymorph of the same formula: 1756.8 meV per atom
Space-group type: No. 221
Magnetic moment: 0.010 Bohr magnetons per cell
Density of states at the Fermi level: 9.21 states/eV per cell
Energy of formation from the pure elements: 2392 meV per atom